# 1
This record from Alexandria via LeMat-Bulk describes a relaxed SmScZnPb crystal. The functional is PBE-GGA.

a b c (Å): 7.2985 7.2985 7.2985
angles (deg): 90.00 90.00 90.00
Closest atoms and distances in Å follow each position.
Fractional coordinates of all 16 atoms:
1 Sm 0.0000 0.0000 0.0000  4 Zn 3.16, 4 Pb 3.16
2 Sm 0.0000 0.5000 0.5000  4 Pb 3.16, 4 Zn 3.16
3 Sm 0.5000 0.0000 0.5000  4 Pb 3.16, 4 Zn 3.16
4 Sm 0.5000 0.5000 0.0000  4 Pb 3.16, 4 Zn 3.16
5 Sc 0.0000 0.0000 0.5000  4 Pb 3.16, 4 Zn 3.16
6 Sc 0.0000 0.5000 0.0000  4 Pb 3.16, 4 Zn 3.16
7 Sc 0.5000 0.0000 0.0000  4 Pb 3.16, 4 Zn 3.16
8 Sc 0.5000 0.5000 0.5000  4 Pb 3.16, 4 Zn 3.16
9 Zn 0.2500 0.2500 0.2500  4 Sc 3.16, 4 Sm 3.16
10 Zn 0.2500 0.7500 0.7500  4 Sc 3.16, 4 Sm 3.16
11 Zn 0.7500 0.2500 0.7500  4 Sc 3.16, 4 Sm 3.16
12 Zn 0.7500 0.7500 0.2500  4 Sc 3.16, 4 Sm 3.16
13 Pb 0.2500 0.2500 0.7500  4 Sc 3.16, 4 Sm 3.16
14 Pb 0.2500 0.7500 0.2500  4 Sc 3.16, 4 Sm 3.16
15 Pb 0.7500 0.2500 0.2500  4 Sc 3.16, 4 Sm 3.16
16 Pb 0.7500 0.7500 0.7500  4 Sc 3.16, 4 Sm 3.16

Summary:
Uncorrected energy   -69.578 eV per cell
Space group   F-43m, No. 216
Formation energy   -340.4 meV per atom


# 2
This record from Alexandria via LeMat-Bulk describes a relaxed Ca2CdH12Rh3 crystal. The functional is PBE-GGA.

a b c (Å): 5.9885 5.9885 5.9885
angles (deg): 64.47 64.47 64.47
Closest atoms and distances in Å follow each position.
Fractional coordinates of all 18 atoms:
1 Ca 0.1176 0.1176 0.1176  3 H 2.19
2 Ca 0.8824 0.8824 0.8824  3 H 2.19
3 Cd 0.5000 0.5000 0.5000  6 H 2.11
4 H 0.0906 0.6307 0.6307  1 Rh 1.67
5 H 0.1812 0.1812 0.6296  2 Rh 1.76
6 H 0.1812 0.6296 0.1812  2 Rh 1.76
7 H 0.3693 0.3693 0.9094  1 Rh 1.67
8 H 0.3693 0.9094 0.3693  1 Rh 1.67
9 H 0.3704 0.8188 0.8188  2 Rh 1.76
10 H 0.6296 0.1812 0.1812  2 Rh 1.76
11 H 0.6307 0.0906 0.6307  1 Rh 1.67
12 H 0.6307 0.6307 0.0906  1 Rh 1.67
13 H 0.8188 0.3704 0.8188  2 Rh 1.76
14 H 0.8188 0.8188 0.3704  2 Rh 1.76
15 H 0.9094 0.3693 0.3693  1 Rh 1.67
16 Rh 0.0000 0.5000 0.5000  6 H 1.67-1.76
17 Rh 0.5000 0.0000 0.5000  6 H 1.67-1.76
18 Rh 0.5000 0.5000 0.0000  6 H 1.67-1.76

Summary:
Uncorrected energy   -71.596 eV per cell
Space group   R-3m, No. 166


# 3
This record from Alexandria via LeMat-Bulk describes a relaxed Sc4BiRu crystal. The functional is PBE-GGA.

a b c (Å): 7.5819 7.5819 5.8052
angles (deg): 102.65 102.65 111.98
Closest atoms and distances in Å follow each position.
Fractional coordinates of all 12 atoms:
1 Sc 0.0582 0.7247 0.9337  2 Ru 2.67-2.70
2 Sc 0.1997 0.3466 0.6461  2 Ru 2.71-2.77
3 Sc 0.2753 0.9418 0.5663  2 Ru 2.67-2.70
4 Sc 0.3466 0.1997 0.1461  2 Ru 2.71-2.77
5 Sc 0.6534 0.8003 0.8539  2 Ru 2.71-2.77
6 Sc 0.7247 0.0582 0.4337  2 Ru 2.67-2.70
7 Sc 0.8003 0.6534 0.3539  2 Ru 2.71-2.77
8 Sc 0.9418 0.2753 0.0663  2 Ru 2.67-2.70
9 Bi 0.3721 0.6279 0.2500  8 Sc 3.09-3.34
10 Bi 0.6279 0.3721 0.7500  8 Sc 3.09-3.34
11 Ru 0.9998 0.0002 0.2500  8 Sc 2.67-2.77, 2 Ru 2.90
12 Ru 0.0002 0.9998 0.7500  8 Sc 2.67-2.77, 2 Ru 2.90

Summary:
Relative energy among the computed polymorphs   0.000 eV per atom
Uncorrected energy   -82.729 eV per cell
Space group   C2/c, No. 15
Formation energy   -480.2 meV per atom


# 4
This record from Alexandria via LeMat-Bulk describes a relaxed RuPbCl3 crystal. The functional is PBE-GGA.

a b c (Å): 5.5988 5.5988 5.5988
angles (deg): 90.00 90.00 90.00
Closest atoms and distances in Å follow each position.
Fractional coordinates of all 5 atoms:
1 Ru 0.0000 0.0000 0.0000  12 Cl 3.96
2 Pb 0.5000 0.5000 0.5000  6 Cl 2.80
3 Cl 0.0000 0.5000 0.5000  2 Pb 2.80
4 Cl 0.5000 0.0000 0.5000  2 Pb 2.80
5 Cl 0.5000 0.5000 0.0000  2 Pb 2.80

Summary:
Relative energy among the computed polymorphs   0.488 eV per atom
Uncorrected energy   -17.040 eV per cell
Formation energy without anion corrections   297 meV/atom
Space group   Pm-3m, No. 221


Ordered total magnetic moment results: 0.00 0.00 0.00 3.01; unit μB/f.u..